# 1
A relaxed structure of Pm2BeC2. Source: the Alexandria database, functional GGA-PBE.

Calculated values
D(E_F)   0.67 states/eV/f.u.
Calculated volume   17.1 Å³ per atom
Magnetic moment   0.0000 μB/atom
Energy relative to the lowest polymorph listed for this composition   33 meV per atom
Energy of formation   -55 meV per atom

a = 7.2376 Å, b = 5.2888 Å, c = 8.9365 Å
α = 90.00°, β = 90.00°, γ = 90.00°
Sites, in units of the cell vectors:
Pm 0.0142 0.2500 0.1582
Pm 0.1405 0.2500 0.5959
Pm 0.3595 0.7500 0.0959
Pm 0.4858 0.7500 0.6582
Pm 0.5142 0.2500 0.3418
Pm 0.6405 0.2500 0.9041
Pm 0.8595 0.7500 0.4041
Pm 0.9858 0.7500 0.8418
Be 0.2280 0.2500 0.9157
Be 0.2720 0.7500 0.4157
Be 0.7280 0.2500 0.5843
Be 0.7720 0.7500 0.0843
C 0.0065 0.2500 0.8507
C 0.1489 0.7500 0.5778
C 0.3511 0.2500 0.0778
C 0.4935 0.7500 0.3507
C 0.5065 0.2500 0.6493
C 0.6489 0.7500 0.9222
C 0.8511 0.2500 0.4222
C 0.9935 0.7500 0.1493

# 2
A relaxed structure of CuAg2Pt. Source: the Alexandria database, functional GGA-PBE.

Calculated values
D(E_F)   1.97 states/eV/f.u.
Calculated volume   16.0 Å³ per atom
Magnetic moment   0.0000 μB/atom
Energy relative to the lowest polymorph listed for this composition   107 meV per atom
Energy of formation   87 meV per atom

a = 2.7626 Å, b = 2.7626 Å, c = 9.4381 Å
α = 90.00°, β = 90.00°, γ = 117.20°
Sites, in units of the cell vectors:
Cu 0.0000 0.0000 0.0000
Ag 0.5000 0.5000 0.2389
Ag 0.5000 0.5000 0.7611
Pt 0.0000 0.0000 0.5000

# 3
A relaxed structure of Ce2SbI. Source: the Alexandria database, functional GGA-PBE.

Calculated values
D(E_F)   14.70 states/eV/f.u.
Calculated volume   33.1 Å³ per atom
Magnetic moment   0.0570 μB/atom
E_form (uncorrected)   -912 meV/atom

a = 8.5162 Å, b = 8.5162 Å, c = 8.5162 Å
α = 29.46°, β = 29.46°, γ = 29.46°
Sites, in units of the cell vectors:
Ce 0.0000 0.0000 0.0000
Ce 0.1823 0.1823 0.1823
Sb 0.5905 0.5905 0.5905
I 0.7592 0.7592 0.7592

# 4
A relaxed structure of Sc5Hg. Source: the Alexandria database, functional GGA-PBE.

Calculated values
D(E_F)   9.15 states/eV/f.u.
Calculated volume   23.1 Å³ per atom
Magnetic moment   0.0002 μB/atom
Energy relative to the lowest polymorph listed for this composition   0 meV per atom
Energy of formation   -123 meV per atom

a = 7.3494 Å, b = 7.3494 Å, c = 4.4426 Å
α = 90.00°, β = 90.00°, γ = 144.68°
Sites, in units of the cell vectors:
Sc 0.0000 0.0000 0.0000
Sc 0.1603 0.8397 0.5000
Sc 0.3301 0.6699 0.0000
Sc 0.6699 0.3301 0.0000
Sc 0.8397 0.1603 0.5000
Hg 0.5000 0.5000 0.5000